[1]
DFT (PBE-GGA) results for TlHg2BiI after structural relaxation.

a = 5.907 Å, b = 5.907 Å, c = 6.245 Å
α = 90.00°, β = 90.00°, γ = 90.00°
Space group P4/mmm (No. 123)
Inequivalent atoms, fractional coordinates:
Tl 0.000 0.000 0.000 x1
Hg 0.000 0.500 0.500 x2
Bi 0.000 0.000 0.500 x1
I 0.500 0.500 0.000 x1

Results
Its formation energy from raw total energies is -0.022 eV per atom. The electronic total energy is -8.5 eV per formula unit.

---

[2]
DFT (PBE-GGA) results for Hg2BiWI after structural relaxation.

a = 5.523 Å, b = 5.523 Å, c = 5.345 Å
α = 90.00°, β = 90.00°, γ = 90.00°
Space group P4/mmm (No. 123)
Inequivalent atoms, fractional coordinates:
Hg 0.000 0.500 0.000 x2
Bi 0.000 0.000 0.500 x1
W 0.000 0.000 0.000 x1
I 0.500 0.500 0.500 x1

Results
Its formation energy from raw total energies is 0.698 eV per atom. The electronic total energy is -15.5 eV per formula unit.

---

[3]
DFT (PBE-GGA) results for HgBiWI2 after structural relaxation.

a = 5.787 Å, b = 5.787 Å, c = 5.565 Å
α = 90.00°, β = 90.00°, γ = 90.00°
Space group P4/mmm (No. 123)
Inequivalent atoms, fractional coordinates:
Hg 0.000 0.000 0.000 x1
Bi 0.500 0.500 0.500 x1
W 0.000 0.000 0.500 x1
I 0.000 0.500 0.000 x2

Results
Its formation energy from raw total energies is 1.522 eV per atom. The electronic total energy is -12.6 eV per formula unit.

---

[4]
DFT (PBE-GGA) results for InHg4Bi after structural relaxation.

a = 8.720 Å, b = 8.720 Å, c = 8.720 Å
α = 90.00°, β = 90.00°, γ = 90.00°
Space group F-43m (No. 216)
Inequivalent atoms, fractional coordinates:
In 0.000 0.000 0.000 x4
Hg 0.125 0.125 0.375 x16
Bi 0.250 0.250 0.750 x4

Results
The calculation puts the energy of formation from the pure elements at 151 meV per atom. The electronic total energy is -6.9 eV per formula unit.

---

[5]
DFT (PBE-GGA) results for In2Hg2Bi after structural relaxation.

a = 4.464 Å, b = 4.464 Å, c = 14.210 Å
α = 90.00°, β = 90.00°, γ = 90.00°
Space group I4/mmm (No. 139)
Inequivalent atoms, fractional coordinates:
In 0.000 0.500 0.250 x4
Hg 0.000 0.000 0.099 x4
Bi 0.000 0.000 0.500 x2

Results
The calculation puts the energy of formation from the pure elements at 138 meV per atom. The electronic total energy is -9.3 eV per formula unit.

---

[6]
DFT (PBE-GGA) results for In8Hg2Bi after structural relaxation.

a = 4.583 Å, b = 4.583 Å, c = 14.874 Å
α = 90.00°, β = 90.00°, γ = 90.00°
Space group P4/mmm (No. 123)
Inequivalent atoms, fractional coordinates:
In 0.000 0.000 0.174 x2
In 0.000 0.500 0.000 x2
In 0.000 0.500 0.343 x4
Hg 0.500 0.500 0.173 x2
Bi 0.500 0.500 0.500 x1

Results
The calculation puts the energy of formation from the pure elements at 32 meV per atom. The electronic total energy is -26.0 eV per formula unit.

---

[7]
DFT (PBE-GGA) results for In7Hg2Bi2 after structural relaxation.

a = 6.243 Å, b = 7.078 Å, c = 7.700 Å
α = 105.45°, β = 107.74°, γ = 92.97°
Space group P1 (No. 1)
Inequivalent atoms, fractional coordinates:
In 0.000 0.000 0.000 x1
In 0.074 0.843 0.378 x1
In 0.254 0.483 0.086 x1
In 0.371 0.302 0.457 x1
In 0.536 0.921 0.194 x1
In 0.697 0.577 0.903 x1
In 0.878 0.196 0.644 x1
Hg 0.160 0.634 0.718 x1
Hg 0.622 0.743 0.544 x1
Bi 0.422 0.112 0.831 x1
Bi 0.831 0.366 0.256 x1

Results
The calculation puts the energy of formation from the pure elements at 26 meV per atom. The electronic total energy is -27.3 eV per formula unit.

---

[8]
DFT (PBE-GGA) results for InHg2Bi2 after structural relaxation.

a = 9.215 Å, b = 9.215 Å, c = 3.496 Å
α = 90.00°, β = 90.00°, γ = 90.00°
Space group P4/mbm (No. 127)
Inequivalent atoms, fractional coordinates:
In 0.000 0.000 0.000 x2
Hg 0.122 0.378 0.500 x4
Bi 0.178 0.678 0.000 x4

Results
The calculation puts the energy of formation from the pure elements at 129 meV per atom. The electronic total energy is -10.5 eV per formula unit.

---

[9]
DFT (PBE-GGA) results for In12Hg16Bi after structural relaxation.

a = 7.006 Å, b = 11.335 Å, c = 11.335 Å
α = 108.29°, β = 103.33°, γ = 103.52°
Space group P1 (No. 1)
Inequivalent atoms, fractional coordinates:
In 0.000 0.000 0.000 x1
In 0.001 0.186 0.784 x1
In 0.025 0.695 0.829 x1
In 0.131 0.147 0.505 x1
In 0.212 0.525 0.198 x1
In 0.290 0.670 0.624 x1
In 0.314 0.874 0.440 x1
In 0.557 0.429 0.633 x1
In 0.628 0.529 0.091 x1
In 0.652 0.334 0.309 x1
In 0.763 0.868 0.397 x1
In 0.797 0.240 0.045 x1
Hg 0.063 0.891 0.666 x1
Hg 0.185 0.332 0.344 x1
Hg 0.302 0.458 0.829 x1
Hg 0.315 0.267 0.052 x1
Hg 0.333 0.066 0.267 x1
Hg 0.413 0.975 0.944 x1
Hg 0.454 0.174 0.770 x1
Hg 0.585 0.619 0.471 x1
Hg 0.623 0.733 0.886 x1
Hg 0.653 0.930 0.719 x1
Hg 0.662 0.151 0.540 x1
Hg 0.773 0.057 0.223 x1
Hg 0.886 0.451 0.906 x1
Hg 0.949 0.613 0.367 x1
Hg 0.955 0.793 0.160 x1
Hg 0.975 0.413 0.573 x1
Bi 0.384 0.762 0.114 x1

Results
The calculation puts the energy of formation from the pure elements at 19 meV per atom. The electronic total energy is -41.0 eV per formula unit.

---

[10]
DFT (PBE-GGA) results for In3Hg7Bi after structural relaxation.

a = 7.1027 Å, b = 7.1027 Å, c = 7.1193 Å
α = 90.00°, β = 90.00°, γ = 120.00°
Space group P3m1 (No. 156)
Inequivalent atoms, fractional coordinates:
In 0.0084 0.5042 0.0000 x3
Hg 0.1493 0.2987 0.3090 x3
Hg 0.3029 0.1515 0.6909 x3
Hg 0.3333 0.6667 0.6193 x1
Bi 0.6667 0.3333 0.3539 x1

Results
The calculation puts the energy of formation from the pure elements at 31 meV per atom. The electronic total energy is -13.9 eV per formula unit.

---

[11]
DFT (PBE-GGA) results for InHg3Bi3 after structural relaxation.

a = 8.284 Å, b = 8.284 Å, c = 8.284 Å
α = 90.00°, β = 90.00°, γ = 90.00°
Space group Pm-3n (No. 223)
Inequivalent atoms, fractional coordinates:
In 0.000 0.000 0.000 x2
Hg 0.000 0.250 0.500 x6
Bi 0.000 0.500 0.250 x6

Results
The calculation puts the energy of formation from the pure elements at 319 meV per atom. The electronic total energy is -13.1 eV per formula unit.

---

[12]
DFT (PBE-GGA) results for In4HgBi3 after structural relaxation.

a = 8.873 Å, b = 11.335 Å, c = 6.370 Å
α = 90.00°, β = 132.05°, γ = 90.00°
Space group C2 (No. 5)
Inequivalent atoms, fractional coordinates:
In 0.111 0.000 0.363 x4
In 0.245 0.263 0.264 x4
Hg 0.000 0.237 0.500 x2
Bi 0.000 0.739 0.000 x2
Bi 0.118 0.504 0.834 x4

Results
The calculation puts the energy of formation from the pure elements at 44 meV per atom. The electronic total energy is -22.5 eV per formula unit.